5
Lattice="4.8215 0.0000 0.0000 0.0000 4.8215 0.0000 0.0000 0.0000 4.8215" Properties=species:S:1:pos:R:3 comment="BaGa3Os | Alexandria via LeMat-Bulk | SCAN | PBEsol geometry" total_magnetization_mub_per_cell=0.000 pbc="T T T"
Ba 0.0000 0.0000 0.0000
Ga 0.0000 2.4108 2.4108
Ga 2.4108 0.0000 2.4108
Ga 2.4108 2.4108 0.0000
Os 2.4108 2.4108 2.4108

---

3
Lattice="5.0914 0.0000 0.0000 -2.5457 4.4093 0.0000 0.0000 0.0000 3.0872" Properties=species:S:1:pos:R:3 comment="LiYZr | Alexandria via LeMat-Bulk | SCAN | PBEsol geometry" total_magnetization_mub_per_cell=0.002 pbc="T T T"
Li 0.0000 0.0000 0.0000
Y 0.0000 2.9395 0.9510
Zr 2.5457 1.4697 2.3903

---

4
Lattice="0.0000 3.7819 3.7819 3.7819 0.0000 3.7819 3.7819 3.7819 0.0000" Properties=species:S:1:pos:R:3 comment="Sr2SnB | Alexandria via LeMat-Bulk | SCAN | PBEsol geometry" total_magnetization_mub_per_cell=0.001 pbc="T T T"
Sr 1.8910 1.8910 1.8910
Sr 5.6729 5.6729 5.6729
Sn 0.0000 0.0000 0.0000
B 3.7819 3.7819 3.7819

---

8
Lattice="3.8808 -5.4693 0.0000 3.8808 5.4693 0.0000 0.0000 0.0000 5.4196" Properties=species:S:1:pos:R:3 comment="Li5Ca3 | Alexandria via LeMat-Bulk | SCAN | PBEsol geometry" total_magnetization_mub_per_cell=0.468 pbc="T T T"
Li 0.0000 0.0000 0.0000
Li 1.9404 2.7347 0.0000
Li 1.9458 0.0000 2.7098
Li 1.9404 -2.7347 0.0000
Li 5.8159 0.0000 2.7098
Ca 3.8808 2.8358 2.7098
Ca 3.8808 0.0000 0.0000
Ca 3.8808 -2.8358 2.7098

---

no.,formation enthalpy at 0 K (meV/atom),energy (eV per atom)
1,-518,-32.61
2,348,-19.96
3,249,-21.73
4,46,-5.07